1.
# PBE TlSn2Au, relaxed
# Distance to the lowest polymorph of the same formula ... 0.0235 eV per atom
# DFT formation energy ... -8 kJ per mole of atoms
# Calculated total energy ... -3.4917 eV/atom
data_TlSn2Au
_chemical_formula_sum 'Tl3 Sn6 Au3'
_cell_length_a 4.4692
_cell_length_b 4.4692
_cell_length_c 20.2132
_cell_angle_alpha 90.00
_cell_angle_beta 90.00
_cell_angle_gamma 120.00
_symmetry_space_group_name_H-M 'R 3 m'
_symmetry_Int_Tables_number 160
_symmetry_space_group_name_Hall 'R 3 -2"'
loop_
_atom_site_label
_atom_site_type_symbol
_atom_site_fract_x
_atom_site_fract_y
_atom_site_fract_z
Tl1 Tl 0.0000 0.0000 0.0000
Sn1 Sn 0.0000 0.0000 0.5608
Sn2 Sn 0.0000 0.0000 0.7810
Au1 Au 0.0000 0.0000 0.1721


2.
# PBE TlSnAu3, relaxed
# Distance to the lowest polymorph of the same formula ... 0.1802 eV per atom
# DFT formation energy ... 16 kJ per mole of atoms
# Calculated total energy ... -3.0768 eV/atom
data_TlSnAu3
_chemical_formula_sum 'Tl1 Sn1 Au3'
_cell_length_a 5.274
_cell_length_b 5.274
_cell_length_c 5.274
_cell_angle_alpha 90.00
_cell_angle_beta 90.00
_cell_angle_gamma 90.00
_symmetry_space_group_name_H-M 'P m -3 m'
_symmetry_Int_Tables_number 221
_symmetry_space_group_name_Hall '-P 4 2 3'
loop_
_atom_site_label
_atom_site_type_symbol
_atom_site_fract_x
_atom_site_fract_y
_atom_site_fract_z
Tl1 Tl 0.000 0.000 0.000
Sn1 Sn 0.500 0.500 0.500
Au1 Au 0.000 0.500 0.500


3.
# PBE Tl2SnAu2, relaxed
# Distance to the lowest polymorph of the same formula ... 0.2124 eV per atom
# DFT formation energy ... 13 kJ per mole of atoms
# Calculated total energy ... -2.9244 eV/atom
data_Tl2SnAu2
_chemical_formula_sum 'Tl4 Sn2 Au4'
_cell_length_a 8.799
_cell_length_b 8.799
_cell_length_c 3.218
_cell_angle_alpha 90.00
_cell_angle_beta 90.00
_cell_angle_gamma 90.00
_symmetry_space_group_name_H-M 'P 4/m b m'
_symmetry_Int_Tables_number 127
_symmetry_space_group_name_Hall '-P 4 2ab'
loop_
_atom_site_label
_atom_site_type_symbol
_atom_site_fract_x
_atom_site_fract_y
_atom_site_fract_z
Tl1 Tl 0.139 0.361 0.000
Sn1 Sn 0.000 0.000 0.000
Au1 Au 0.158 0.658 0.500


4.
# PBE TlSn2Au, relaxed
# Distance to the lowest polymorph of the same formula ... 0.1689 eV per atom
# DFT formation energy ... 6 kJ per mole of atoms
# Calculated total energy ... -3.3464 eV/atom
data_TlSn2Au
_chemical_formula_sum 'Tl1 Sn2 Au1'
_cell_length_a 4.772
_cell_length_b 4.772
_cell_length_c 4.461
_cell_angle_alpha 90.00
_cell_angle_beta 90.00
_cell_angle_gamma 90.00
_symmetry_space_group_name_H-M 'P 4/m m m'
_symmetry_Int_Tables_number 123
_symmetry_space_group_name_Hall '-P 4 2'
loop_
_atom_site_label
_atom_site_type_symbol
_atom_site_fract_x
_atom_site_fract_y
_atom_site_fract_z
Tl1 Tl 0.000 0.000 0.000
Sn1 Sn 0.000 0.500 0.500
Au1 Au 0.500 0.500 0.000


5.
# PBE Tl2Sn2Au3, relaxed
# DFT formation energy ... -10 kJ per mole of atoms
# Calculated total energy ... -3.3305 eV/atom
data_Tl2Sn2Au3
_chemical_formula_sum 'Tl2 Sn2 Au3'
_cell_length_a 4.432
_cell_length_b 6.663
_cell_length_c 6.899
_cell_angle_alpha 72.04
_cell_angle_beta 71.42
_cell_angle_gamma 70.91
_symmetry_space_group_name_H-M 'P -1'
_symmetry_Int_Tables_number 2
loop_
_symmetry_equiv_pos_as_xyz
'x,y,z'
'-x,-y,-z'
loop_
_atom_site_label
_atom_site_type_symbol
_atom_site_fract_x
_atom_site_fract_y
_atom_site_fract_z
Tl1 Tl 0.163 0.464 0.214
Sn1 Sn 0.136 0.994 0.732
Au1 Au 0.416 0.731 0.438
Au2 Au 0.500 0.000 0.000


6.
# PBE Tl3Sn2Au7, relaxed
# DFT formation energy ... -2 kJ per mole of atoms
# Calculated total energy ... -3.1923 eV/atom
data_Tl3Sn2Au7
_chemical_formula_sum 'Tl3 Sn2 Au7'
_cell_length_a 4.172
_cell_length_b 4.175
_cell_length_c 17.221
_cell_angle_alpha 96.67
_cell_angle_beta 96.86
_cell_angle_gamma 90.17
_symmetry_space_group_name_H-M 'P -1'
_symmetry_Int_Tables_number 2
loop_
_symmetry_equiv_pos_as_xyz
'x,y,z'
'-x,-y,-z'
loop_
_atom_site_label
_atom_site_type_symbol
_atom_site_fract_x
_atom_site_fract_y
_atom_site_fract_z
Tl1 Tl 0.000 0.000 0.000
Tl2 Tl 0.217 0.222 0.436
Sn1 Sn 0.423 0.415 0.839
Au1 Au 0.132 0.640 0.269
Au2 Au 0.307 0.301 0.611
Au3 Au 0.368 0.861 0.731
Au4 Au 0.500 0.500 0.000


7.
# PBE Tl3Sn4Au2, relaxed
# DFT formation energy ... -3 kJ per mole of atoms
# Calculated total energy ... -3.3293 eV/atom
data_Tl3Sn4Au2
_chemical_formula_sum 'Tl6 Sn8 Au4'
_cell_length_a 13.459
_cell_length_b 4.204
_cell_length_c 9.654
_cell_angle_alpha 90.00
_cell_angle_beta 114.44
_cell_angle_gamma 90.00
_symmetry_space_group_name_H-M 'C 1 2/m 1'
_symmetry_Int_Tables_number 12
loop_
_symmetry_equiv_pos_as_xyz
'x,y,z'
'-x,-y,-z'
'-x,y,-z'
'x,-y,z'
'x+1/2,y+1/2,z'
'-x+1/2,-y+1/2,-z'
'-x+1/2,y+1/2,-z'
'x+1/2,-y+1/2,z'
loop_
_atom_site_label
_atom_site_type_symbol
_atom_site_fract_x
_atom_site_fract_y
_atom_site_fract_z
Tl1 Tl 0.000 0.000 0.000
Tl2 Tl 0.211 0.500 0.303
Sn1 Sn 0.036 0.000 0.364
Sn2 Sn 0.166 0.500 0.921
Au1 Au 0.114 0.500 0.612


8.
# PBE TlSn2Au2, relaxed
# Distance to the lowest polymorph of the same formula ... 0.0000 eV per atom
# DFT formation energy ... -13 kJ per mole of atoms
# Calculated total energy ... -3.5183 eV/atom
data_TlSn2Au2
_chemical_formula_sum 'Tl2 Sn4 Au4'
_cell_length_a 5.159
_cell_length_b 4.771
_cell_length_c 10.748
_cell_angle_alpha 90.00
_cell_angle_beta 98.24
_cell_angle_gamma 90.00
_symmetry_space_group_name_H-M 'P 1 21/m 1'
_symmetry_Int_Tables_number 11
loop_
_symmetry_equiv_pos_as_xyz
'x,y,z'
'-x,-y,-z'
'-x,y+1/2,-z'
'x,-y+1/2,z'
loop_
_atom_site_label
_atom_site_type_symbol
_atom_site_fract_x
_atom_site_fract_y
_atom_site_fract_z
Tl1 Tl 0.239 0.250 0.255
Sn1 Sn 0.232 0.750 0.490
Sn2 Sn 0.332 0.250 0.895
Au1 Au 0.152 0.750 0.991
Au2 Au 0.302 0.250 0.637


9.
# PBE TlSnAu3, relaxed
# Distance to the lowest polymorph of the same formula ... 0.5985 eV per atom
# DFT formation energy ... 56 kJ per mole of atoms
# Calculated total energy ... -2.6585 eV/atom
data_TlSnAu3
_chemical_formula_sum 'Tl1 Sn1 Au3'
_cell_length_a 5.252
_cell_length_b 5.252
_cell_length_c 5.252
_cell_angle_alpha 90.00
_cell_angle_beta 90.00
_cell_angle_gamma 90.00
_symmetry_space_group_name_H-M 'P m -3 m'
_symmetry_Int_Tables_number 221
_symmetry_space_group_name_Hall '-P 4 2 3'
loop_
_atom_site_label
_atom_site_type_symbol
_atom_site_fract_x
_atom_site_fract_y
_atom_site_fract_z
Tl1 Tl 0.000 0.000 0.000
Sn1 Sn 0.500 0.500 0.500
Au1 Au 0.000 0.000 0.500


10.
# PBE Tl3SnAu3, relaxed
# Distance to the lowest polymorph of the same formula ... 0.0109 eV per atom
# DFT formation energy ... -2 kJ per mole of atoms
# Calculated total energy ... -3.0107 eV/atom
data_Tl3SnAu3
_chemical_formula_sum 'Tl12 Sn4 Au12'
_cell_length_a 8.880
_cell_length_b 11.571
_cell_length_c 7.344
_cell_angle_alpha 90.00
_cell_angle_beta 96.25
_cell_angle_gamma 90.00
_symmetry_space_group_name_H-M 'C 1 2/m 1'
_symmetry_Int_Tables_number 12
loop_
_symmetry_equiv_pos_as_xyz
'x,y,z'
'-x,-y,-z'
'-x,y,-z'
'x,-y,z'
'x+1/2,y+1/2,z'
'-x+1/2,-y+1/2,-z'
'-x+1/2,y+1/2,-z'
'x+1/2,-y+1/2,z'
loop_
_atom_site_label
_atom_site_type_symbol
_atom_site_fract_x
_atom_site_fract_y
_atom_site_fract_z
Tl1 Tl 0.000 0.150 0.000
Tl2 Tl 0.000 0.257 0.500
Tl3 Tl 0.136 0.500 0.846
Sn1 Sn 0.225 0.500 0.388
Au1 Au 0.050 0.000 0.319
Au2 Au 0.222 0.311 0.169


11.
# PBE Tl6SnAu, relaxed
# DFT formation energy ... 2 kJ per mole of atoms
# Calculated total energy ... -2.6652 eV/atom
data_Tl6SnAu
_chemical_formula_sum 'Tl12 Sn2 Au2'
_cell_length_a 4.633
_cell_length_b 8.980
_cell_length_c 11.389
_cell_angle_alpha 90.00
_cell_angle_beta 90.00
_cell_angle_gamma 90.00
_symmetry_space_group_name_H-M 'A m m 2'
_symmetry_Int_Tables_number 38
loop_
_symmetry_equiv_pos_as_xyz
'x,y,z'
'-x,-y,z'
'-x,y,z'
'x,-y,z'
'x,y+1/2,z+1/2'
'-x,-y+1/2,z+1/2'
'-x,y+1/2,z+1/2'
'x,-y+1/2,z+1/2'
loop_
_atom_site_label
_atom_site_type_symbol
_atom_site_fract_x
_atom_site_fract_y
_atom_site_fract_z
Tl1 Tl 0.000 0.000 0.000
Tl2 Tl 0.000 0.193 0.276
Tl3 Tl 0.500 0.000 0.783
Tl4 Tl 0.500 0.217 0.506
Sn1 Sn 0.000 0.000 0.586
Au1 Au 0.500 0.000 0.181


12.
# PBE Tl2Sn3Au5, relaxed
# DFT formation energy ... -8 kJ per mole of atoms
# Calculated total energy ... -3.3940 eV/atom
data_Tl2Sn3Au5
_chemical_formula_sum 'Tl8 Sn12 Au20'
_cell_length_a 11.201
_cell_length_b 12.749
_cell_length_c 7.171
_cell_angle_alpha 90.00
_cell_angle_beta 90.00
_cell_angle_gamma 90.00
_symmetry_space_group_name_H-M 'I b a m'
_symmetry_Int_Tables_number 72
_symmetry_space_group_name_Hall '-I 2 2c'
loop_
_atom_site_label
_atom_site_type_symbol
_atom_site_fract_x
_atom_site_fract_y
_atom_site_fract_z
Tl1 Tl 0.235 0.129 0.000
Sn1 Sn 0.000 0.500 0.250
Sn2 Sn 0.109 0.136 0.500
Au1 Au 0.000 0.000 0.250
Au2 Au 0.000 0.273 0.250
Au3 Au 0.151 0.392 0.000


13.
# PBE Tl3Sn7Au4, relaxed
# DFT formation energy ... -8 kJ per mole of atoms
# Calculated total energy ... -3.5277 eV/atom
data_Tl3Sn7Au4
_chemical_formula_sum 'Tl6 Sn14 Au8'
_cell_length_a 17.579
_cell_length_b 4.650
_cell_length_c 10.691
_cell_angle_alpha 90.00
_cell_angle_beta 122.71
_cell_angle_gamma 90.00
_symmetry_space_group_name_H-M 'C 1 2/m 1'
_symmetry_Int_Tables_number 12
loop_
_symmetry_equiv_pos_as_xyz
'x,y,z'
'-x,-y,-z'
'-x,y,-z'
'x,-y,z'
'x+1/2,y+1/2,z'
'-x+1/2,-y+1/2,-z'
'-x+1/2,y+1/2,-z'
'x+1/2,-y+1/2,z'
loop_
_atom_site_label
_atom_site_type_symbol
_atom_site_fract_x
_atom_site_fract_y
_atom_site_fract_z
Tl1 Tl 0.000 0.000 0.000
Tl2 Tl 0.185 0.500 0.686
Sn1 Sn 0.000 0.000 0.500
Sn2 Sn 0.003 0.500 0.724
Sn3 Sn 0.166 0.000 0.438
Sn4 Sn 0.191 0.500 0.044
Au1 Au 0.122 0.000 0.860
Au2 Au 0.158 0.500 0.272


14.
# PBE Tl5Sn2Au, relaxed
# DFT formation energy ... -2 kJ per mole of atoms
# Calculated total energy ... -2.9111 eV/atom
data_Tl5Sn2Au
_chemical_formula_sum 'Tl20 Sn8 Au4'
_cell_length_a 4.536
_cell_length_b 11.691
_cell_length_c 17.546
_cell_angle_alpha 90.00
_cell_angle_beta 90.00
_cell_angle_gamma 90.00
_symmetry_space_group_name_H-M 'C m c m'
_symmetry_Int_Tables_number 63
_symmetry_space_group_name_Hall '-C 2c 2'
loop_
_atom_site_label
_atom_site_type_symbol
_atom_site_fract_x
_atom_site_fract_y
_atom_site_fract_z
Tl1 Tl 0.000 0.014 0.250
Tl2 Tl 0.000 0.143 0.029
Tl3 Tl 0.000 0.447 0.110
Sn1 Sn 0.000 0.266 0.656
Au1 Au 0.000 0.280 0.250


15.
# PBE Tl5SnAu4, relaxed
# DFT formation energy ... -3 kJ per mole of atoms
# Calculated total energy ... -2.9230 eV/atom
data_Tl5SnAu4
_chemical_formula_sum 'Tl10 Sn2 Au8'
_cell_length_a 17.644
_cell_length_b 4.248
_cell_length_c 7.800
_cell_angle_alpha 90.00
_cell_angle_beta 104.60
_cell_angle_gamma 90.00
_symmetry_space_group_name_H-M 'C 1 2/m 1'
_symmetry_Int_Tables_number 12
loop_
_symmetry_equiv_pos_as_xyz
'x,y,z'
'-x,-y,-z'
'-x,y,-z'
'x,-y,z'
'x+1/2,y+1/2,z'
'-x+1/2,-y+1/2,-z'
'-x+1/2,y+1/2,-z'
'x+1/2,-y+1/2,z'
loop_
_atom_site_label
_atom_site_type_symbol
_atom_site_fract_x
_atom_site_fract_y
_atom_site_fract_z
Tl1 Tl 0.000 0.000 0.000
Tl2 Tl 0.164 0.500 0.299
Tl3 Tl 0.183 0.500 0.850
Sn1 Sn 0.000 0.000 0.500
Au1 Au 0.009 0.500 0.746
Au2 Au 0.165 0.000 0.569


16.
# PBE TlSn3Au2, relaxed
# Distance to the lowest polymorph of the same formula ... 0.0256 eV per atom
# DFT formation energy ... -7 kJ per mole of atoms
# Calculated total energy ... -3.5630 eV/atom
data_TlSn3Au2
_chemical_formula_sum 'Tl4 Sn12 Au8'
_cell_length_a 6.868
_cell_length_b 13.767
_cell_length_c 6.898
_cell_angle_alpha 90.00
_cell_angle_beta 90.00
_cell_angle_gamma 90.00
_symmetry_space_group_name_H-M 'I b a m'
_symmetry_Int_Tables_number 72
_symmetry_space_group_name_Hall '-I 2 2c'
loop_
_atom_site_label
_atom_site_type_symbol
_atom_site_fract_x
_atom_site_fract_y
_atom_site_fract_z
Tl1 Tl 0.000 0.000 0.000
Sn1 Sn 0.000 0.228 0.250
Sn2 Sn 0.000 0.500 0.250
Au1 Au 0.191 0.360 0.000


17.
# PBE Tl14Sn2Au9, relaxed
# DFT formation energy ... -3 kJ per mole of atoms
# Calculated total energy ... -2.8532 eV/atom
data_Tl14Sn2Au9
_chemical_formula_sum 'Tl14 Sn2 Au9'
_cell_length_a 8.6024
_cell_length_b 8.6024
_cell_length_c 11.4622
_cell_angle_alpha 90.00
_cell_angle_beta 90.00
_cell_angle_gamma 120.00
_symmetry_space_group_name_H-M 'P -3'
_symmetry_Int_Tables_number 147
loop_
_symmetry_equiv_pos_as_xyz
'x,y,z'
'-x,-y,-z'
'-y,x-y,z'
'y,-x+y,-z'
'-x+y,-x,z'
'x-y,x,-z'
loop_
_atom_site_label
_atom_site_type_symbol
_atom_site_fract_x
_atom_site_fract_y
_atom_site_fract_z
Tl1 Tl 0.0000 0.0000 0.2399
Tl2 Tl 0.0325 0.6794 0.4119
Tl3 Tl 0.0761 0.3930 0.1008
Sn1 Sn 0.3333 0.6667 0.7648
Au1 Au 0.0000 0.0000 0.5000
Au2 Au 0.0494 0.3494 0.8423
Au3 Au 0.3333 0.6667 0.5236


18.
# PBE TlSnAu14, relaxed
# DFT formation energy ... 3 kJ per mole of atoms
# Calculated total energy ... -3.2362 eV/atom
data_TlSnAu14
_chemical_formula_sum 'Tl1 Sn1 Au14'
_cell_length_a 5.993
_cell_length_b 5.993
_cell_length_c 8.409
_cell_angle_alpha 90.00
_cell_angle_beta 90.00
_cell_angle_gamma 90.00
_symmetry_space_group_name_H-M 'P 4/m m m'
_symmetry_Int_Tables_number 123
_symmetry_space_group_name_Hall '-P 4 2'
loop_
_atom_site_label
_atom_site_type_symbol
_atom_site_fract_x
_atom_site_fract_y
_atom_site_fract_z
Tl1 Tl 0.000 0.000 0.000
Sn1 Sn 0.500 0.500 0.000
Au1 Au 0.000 0.000 0.500
Au2 Au 0.000 0.500 0.000
Au3 Au 0.000 0.500 0.500
Au4 Au 0.251 0.251 0.258
Au5 Au 0.500 0.500 0.500


19.
# PBE Tl4Sn2Au, relaxed
# DFT formation energy ... 1 kJ per mole of atoms
# Calculated total energy ... -2.9528 eV/atom
data_Tl4Sn2Au
_chemical_formula_sum 'Tl8 Sn4 Au2'
_cell_length_a 9.092
_cell_length_b 9.952
_cell_length_c 4.686
_cell_angle_alpha 90.00
_cell_angle_beta 90.00
_cell_angle_gamma 90.00
_symmetry_space_group_name_H-M 'C m m m'
_symmetry_Int_Tables_number 65
_symmetry_space_group_name_Hall '-C 2 2'
loop_
_atom_site_label
_atom_site_type_symbol
_atom_site_fract_x
_atom_site_fract_y
_atom_site_fract_z
Tl1 Tl 0.000 0.178 0.000
Tl2 Tl 0.250 0.250 0.500
Sn1 Sn 0.176 0.500 0.000
Au1 Au 0.000 0.500 0.500


20.
# PBE Tl2SnAu2, relaxed
# Distance to the lowest polymorph of the same formula ... 0.0155 eV per atom
# DFT formation energy ... -6 kJ per mole of atoms
# Calculated total energy ... -3.1212 eV/atom
data_Tl2SnAu2
_chemical_formula_sum 'Tl8 Sn4 Au8'
_cell_length_a 12.739
_cell_length_b 4.495
_cell_length_c 11.046
_cell_angle_alpha 90.00
_cell_angle_beta 124.80
_cell_angle_gamma 90.00
_symmetry_space_group_name_H-M 'C 1 2/m 1'
_symmetry_Int_Tables_number 12
loop_
_symmetry_equiv_pos_as_xyz
'x,y,z'
'-x,-y,-z'
'-x,y,-z'
'x,-y,z'
'x+1/2,y+1/2,z'
'-x+1/2,-y+1/2,-z'
'-x+1/2,y+1/2,-z'
'x+1/2,-y+1/2,z'
loop_
_atom_site_label
_atom_site_type_symbol
_atom_site_fract_x
_atom_site_fract_y
_atom_site_fract_z
Tl1 Tl 0.103 0.000 0.405
Tl2 Tl 0.155 0.500 0.194
Sn1 Sn 0.151 0.500 0.860
Au1 Au 0.077 0.000 0.945
Au2 Au 0.138 0.500 0.600


21.
# PBE TlSnAu10, relaxed
# DFT formation energy ... 3 kJ per mole of atoms
# Calculated total energy ... -3.2342 eV/atom
data_TlSnAu10
_chemical_formula_sum 'Tl1 Sn1 Au10'
_cell_length_a 4.699
_cell_length_b 5.648
_cell_length_c 9.723
_cell_angle_alpha 90.00
_cell_angle_beta 90.00
_cell_angle_gamma 90.00
_symmetry_space_group_name_H-M 'P m m m'
_symmetry_Int_Tables_number 47
loop_
_symmetry_equiv_pos_as_xyz
'x,y,z'
'-x,-y,-z'
'-x,-y,z'
'x,y,-z'
'x,-y,-z'
'-x,y,z'
'-x,y,-z'
'x,-y,z'
loop_
_atom_site_label
_atom_site_type_symbol
_atom_site_fract_x
_atom_site_fract_y
_atom_site_fract_z
Tl1 Tl 0.000 0.000 0.000
Sn1 Sn 0.000 0.500 0.500
Au1 Au 0.000 0.000 0.335
Au2 Au 0.000 0.500 0.171
Au3 Au 0.500 0.000 0.500
Au4 Au 0.500 0.253 0.254
Au5 Au 0.500 0.500 0.000